Material: NaCaAgF6
Method: DFT, PBE-GGA
State: relaxed

Properties
Calculated density in Mg/m³: 3.401
Magnetic moment in μB per formula unit: 2.00
E_form (uncorrected) in eV/atom: -2.366

Structure (POSCAR):
```
NaCaAgF6
1.0
-2.960 3.722 1.988
-3.367 -3.547 1.628
5.169 -0.739 9.080
Na Ca Ag F
2 2 2 12
direct
0.500 0.500 0.500
0.000 0.000 0.000
0.500 0.500 0.168
0.000 0.000 0.668
0.500 0.500 0.833
0.000 0.000 0.333
0.186 0.814 0.491
0.814 0.186 0.491
0.314 0.314 0.991
0.686 0.686 0.991
0.190 0.810 0.178
0.810 0.190 0.178
0.310 0.310 0.678
0.690 0.690 0.678
0.790 0.210 0.830
0.210 0.790 0.830
0.710 0.710 0.330
0.290 0.290 0.330
```